Entry from Alexandria via LeMat-Bulk: a relaxed structure of CeHoPdRh (GGA-PBE).

Properties
Uncorrected energy (eV/cell): -26.41
E above lowest polymorph (eV per atom): 0.000
Formation energy (kJ per mole of atoms): -81

Cell: 4.1830 5.9010 5.9010 Å, 37.40 90.00 90.00°
Last column: nearest neighbours and their distance in Å.
Atoms (fractional coordinates):
Ce (0.0000, 0.0000, 0.0000)  4 Rh 2.85, 3 Pd 3.11-3.12
Ho (0.5000, 0.2756, 0.2756)  4 Pd 2.89, 1 Rh 2.91
Pd (0.0000, 0.7208, 0.7208)  4 Ho 2.89, 2 Rh 2.94, 3 Ce 3.11-3.12
Rh (0.5000, 0.5357, 0.5357)  4 Ce 2.85, 1 Ho 2.91, 2 Pd 2.94

***

Entry from Alexandria via LeMat-Bulk: a relaxed structure of CeHoPdRu (GGA-PBE).

Properties
Uncorrected energy (eV/cell): -27.19
Formation energy (kJ per mole of atoms): -53

Cell: 4.9181 4.9181 4.9181 Å, 60.00 60.00 60.00°
Last column: nearest neighbours and their distance in Å.
Atoms (fractional coordinates):
Ce (0.0000, 0.0000, 0.0000)  4 Pd 3.01, 4 Ru 3.01
Ho (0.5000, 0.5000, 0.5000)  4 Ru 3.01, 4 Pd 3.01
Pd (0.7500, 0.7500, 0.7500)  4 Ho 3.01, 4 Ce 3.01
Ru (0.2500, 0.2500, 0.2500)  4 Ce 3.01, 4 Ho 3.01

***

Entry from Alexandria via LeMat-Bulk: a relaxed structure of Ce2HoPdS5 (GGA-PBE).

Properties
Uncorrected energy (eV/cell): -115.46
E_form (uncorrected) (eV per formula unit): -15.5

Cell: 8.4069 8.4069 11.9465 Å, 90.00 90.00 153.35°
Last column: nearest neighbours and their distance in Å.
Atoms (fractional coordinates):
Ce (0.1097, 0.8903, 0.5000)  7 S 2.83-3.09
Ce (0.1213, 0.8787, 0.8462)  8 S 2.86-3.02
Ce (0.8787, 0.1213, 0.3462)  8 S 2.86-3.02
Ce (0.8903, 0.1097, 0.0000)  7 S 2.83-3.09
Ho (0.1764, 0.8236, 0.1741)  6 S 2.70-2.80
Ho (0.8236, 0.1764, 0.6741)  6 S 2.70-2.80
Pd (0.4470, 0.5530, 0.5694)  4 S 2.34-2.44
Pd (0.5530, 0.4470, 0.0694)  4 S 2.34-2.44
S (0.0086, 0.9914, 0.1727)  2 Pd 2.41
S (0.3046, 0.6954, 0.5075)  1 Pd 2.44
S (0.3055, 0.6945, 0.8354)  2 Ho 2.75, 1 Ce 3.02
S (0.3417, 0.6583, 0.1708)  1 Ho 2.70, 4 Ce 2.92
S (0.4963, 0.5037, 0.8894)  1 Pd 2.34
S (0.5037, 0.4963, 0.3894)  1 Pd 2.34
S (0.6583, 0.3417, 0.6708)  1 Ho 2.70, 4 Ce 2.92
S (0.6954, 0.3046, 0.0075)  1 Pd 2.44
S (0.6945, 0.3055, 0.3354)  2 Ho 2.75, 1 Ce 3.02
S (0.9914, 0.0086, 0.6727)  2 Pd 2.41

***

Entry from Alexandria via LeMat-Bulk: a relaxed structure of Ce2HoPdSe5 (GGA-PBE).

Properties
Uncorrected energy (eV/cell): -106.48
E_form (uncorrected) (eV per formula unit): -14.2

Cell: 8.8545 8.8545 12.4279 Å, 90.00 90.00 153.80°
Last column: nearest neighbours and their distance in Å.
Atoms (fractional coordinates):
Ce (0.1059, 0.8941, 0.5000)  7 Se 2.96-3.22
Ce (0.1232, 0.8768, 0.8479)  8 Se 2.99-3.18
Ce (0.8768, 0.1232, 0.3479)  8 Se 2.99-3.18
Ce (0.8941, 0.1059, 0.0000)  7 Se 2.96-3.22
Ho (0.1746, 0.8254, 0.1723)  6 Se 2.84-2.92, 2 Pd 3.12
Ho (0.8254, 0.1746, 0.6723)  6 Se 2.84-2.92, 2 Pd 3.12
Pd (0.4430, 0.5570, 0.5701)  4 Se 2.47-2.56
Pd (0.5570, 0.4430, 0.0701)  4 Se 2.47-2.56
Se (0.0102, 0.9898, 0.1752)  2 Pd 2.53
Se (0.3025, 0.6975, 0.5048)  1 Pd 2.56
Se (0.3071, 0.6929, 0.8368)  2 Ho 2.88, 3 Ce 3.18-3.22
Se (0.3408, 0.6592, 0.1702)  1 Ho 2.87, 4 Ce 3.05-3.06
Se (0.4983, 0.5017, 0.8886)  1 Pd 2.47
Se (0.5017, 0.4983, 0.3886)  1 Pd 2.47
Se (0.6592, 0.3408, 0.6702)  1 Ho 2.87, 4 Ce 3.05-3.06
Se (0.6929, 0.3071, 0.3368)  2 Ho 2.88, 3 Ce 3.18-3.22
Se (0.6975, 0.3025, 0.0048)  1 Pd 2.56
Se (0.9898, 0.0102, 0.6752)  2 Pd 2.53

***

Entry from Alexandria via LeMat-Bulk: a relaxed structure of CeHoSiPd (GGA-PBE).

Properties
Uncorrected energy (eV/cell): -23.55
E_form (uncorrected) (eV per formula unit): -2.4

Cell: 5.0317 5.0317 5.0317 Å, 60.00 60.00 60.00°
Last column: nearest neighbours and their distance in Å.
Atoms (fractional coordinates):
Ce (0.0000, 0.0000, 0.0000)  4 Pd 3.08, 4 Si 3.08
Ho (0.5000, 0.5000, 0.5000)  4 Pd 3.08, 4 Si 3.08
Si (0.2500, 0.2500, 0.2500)  4 Ce 3.08, 4 Ho 3.08
Pd (0.7500, 0.7500, 0.7500)  4 Ce 3.08, 4 Ho 3.08

***

Entry from Alexandria via LeMat-Bulk: a relaxed structure of CeHoSnPd (GGA-PBE).

Properties
Uncorrected energy (eV/cell): -22.16
Formation energy (kJ per mole of atoms): -59

Cell: 5.2292 5.2292 5.2292 Å, 60.00 60.00 60.00°
Last column: nearest neighbours and their distance in Å.
Atoms (fractional coordinates):
Ce (0.0000, 0.0000, 0.0000)  4 Sn 3.20, 4 Pd 3.20
Ho (0.5000, 0.5000, 0.5000)  4 Sn 3.20, 4 Pd 3.20
Sn (0.7500, 0.7500, 0.7500)  4 Ce 3.20, 4 Ho 3.20
Pd (0.2500, 0.2500, 0.2500)  4 Ce 3.20, 4 Ho 3.20

***

Entry from Alexandria via LeMat-Bulk: a relaxed structure of CeHoTlPd (GGA-PBE).

Properties
Uncorrected energy (eV/cell): -19.76
Formation energy (kJ per mole of atoms): -41

Cell: 5.2380 5.2380 5.2380 Å, 60.00 60.00 60.00°
Last column: nearest neighbours and their distance in Å.
Atoms (fractional coordinates):
Ce (0.0000, 0.0000, 0.0000)  4 Tl 3.21, 4 Pd 3.21
Ho (0.5000, 0.5000, 0.5000)  4 Tl 3.21, 4 Pd 3.21
Tl (0.2500, 0.2500, 0.2500)  4 Ce 3.21, 4 Ho 3.21
Pd (0.7500, 0.7500, 0.7500)  4 Ce 3.21, 4 Ho 3.21

***

Entry from Alexandria via LeMat-Bulk: a relaxed structure of CePm15Ho4 (GGA-PBE).

Properties
Uncorrected energy (eV/cell): -94.94
Formation energy (kJ per mole of atoms): 3

Cell: 5.1243 5.1243 25.5795 Å, 90.00 90.00 90.00°
Last column: nearest neighbours and their distance in Å.
Atoms (fractional coordinates):
Ce (0.0000, 0.0000, 0.0000)  12 Pm 3.61-3.62
Pm (0.0000, 0.5000, 0.0996)  2 Ce 3.61, 8 Pm 3.61-3.65, 2 Ho 3.63
Pm (0.0000, 0.5000, 0.3000)  8 Pm 3.59-3.63, 4 Ho 3.62
Pm (0.0000, 0.5000, 0.5000)  8 Pm 3.61-3.62, 4 Ho 3.62
Pm (0.0000, 0.5000, 0.7000)  8 Pm 3.59-3.63, 4 Ho 3.62
Pm (0.0000, 0.5000, 0.9004)  8 Pm 3.61-3.65, 2 Ce 3.61, 2 Ho 3.63
Pm (0.5000, 0.0000, 0.0996)  2 Ce 3.61, 8 Pm 3.61-3.65, 2 Ho 3.63
Pm (0.5000, 0.0000, 0.3000)  8 Pm 3.59-3.63, 4 Ho 3.62
Pm (0.5000, 0.0000, 0.5000)  8 Pm 3.61-3.62, 4 Ho 3.62
Pm (0.5000, 0.0000, 0.7000)  8 Pm 3.59-3.63, 4 Ho 3.62
Pm (0.5000, 0.0000, 0.9004)  8 Pm 3.61-3.65, 2 Ce 3.61, 2 Ho 3.63
Pm (0.5000, 0.5000, 0.0000)  8 Pm 3.61, 4 Ce 3.62
Pm (0.5000, 0.5000, 0.2015)  8 Pm 3.59-3.65, 4 Ho 3.62
Pm (0.5000, 0.5000, 0.4003)  8 Pm 3.61-3.63, 4 Ho 3.62
Pm (0.5000, 0.5000, 0.5997)  8 Pm 3.61-3.63, 4 Ho 3.62
Pm (0.5000, 0.5000, 0.7985)  8 Pm 3.59-3.65, 4 Ho 3.62
Ho (0.0000, 0.0000, 0.2000)  12 Pm 3.62-3.63
Ho (0.0000, 0.0000, 0.4000)  12 Pm 3.62
Ho (0.0000, 0.0000, 0.6000)  12 Pm 3.62
Ho (0.0000, 0.0000, 0.8000)  12 Pm 3.62-3.63

***

Entry from Alexandria via LeMat-Bulk: a relaxed structure of CePm3Ho2 (GGA-PBE).

Properties
Uncorrected energy (eV/cell): -58.08
Formation energy (kJ per mole of atoms): 5

Cell: 7.1615 7.1616 8.7988 Å, 89.88 89.95 60.02°
Last column: nearest neighbours and their distance in Å.
Atoms (fractional coordinates):
Ce (0.2496, 0.0002, 0.0000)  8 Pm 3.56-3.58, 2 Ce 3.58-3.59, 2 Ho 3.58-3.59
Ce (0.7504, 0.9998, 0.0000)  8 Pm 3.56-3.58, 2 Ce 3.58-3.59, 2 Ho 3.58-3.59
Pm (0.0813, 0.8371, 0.6696)  6 Ho 3.56-3.61, 2 Ce 3.56, 4 Pm 3.58-3.60
Pm (0.2503, 0.4996, 0.0000)  4 Pm 3.58, 4 Ce 3.58, 4 Ho 3.59-3.60
Pm (0.4188, 0.1626, 0.3304)  6 Ho 3.55-3.61, 2 Ce 3.56, 4 Pm 3.58-3.60
Pm (0.5812, 0.8374, 0.6696)  6 Ho 3.55-3.61, 2 Ce 3.56, 4 Pm 3.58-3.60
Pm (0.7497, 0.5004, 0.0000)  4 Pm 3.58, 4 Ce 3.58, 4 Ho 3.59-3.60
Pm (0.9187, 0.1629, 0.3304)  6 Ho 3.56-3.61, 2 Ce 3.56, 4 Pm 3.58-3.60
Ho (0.0839, 0.3325, 0.6662)  8 Pm 3.55-3.61, 3 Ho 3.58-3.59, 1 Ce 3.58
Ho (0.4159, 0.6676, 0.3338)  8 Pm 3.56-3.61, 3 Ho 3.58-3.59, 1 Ce 3.59
Ho (0.5841, 0.3324, 0.6662)  8 Pm 3.56-3.61, 3 Ho 3.58-3.59, 1 Ce 3.59
Ho (0.9161, 0.6675, 0.3338)  8 Pm 3.55-3.61, 3 Ho 3.58-3.59, 1 Ce 3.58

***

Entry from Alexandria via LeMat-Bulk: a relaxed structure of CePm6Ho10 (GGA-PBE).

Properties
Uncorrected energy (eV/cell): -77.76
Formation energy (kJ per mole of atoms): 14

Cell: 9.6639 9.6639 6.8799 Å, 90.00 90.00 120.00°
Last column: nearest neighbours and their distance in Å.
Atoms (fractional coordinates):
Ce (0.0000, 0.0000, 0.0000)  6 Ho 3.41
Pm (0.0000, 0.3798, 0.7984)  9 Ho 3.32-3.72, 1 Pm 3.62
Pm (0.0000, 0.6202, 0.2016)  9 Ho 3.32-3.72, 1 Pm 3.62
Pm (0.3798, 0.0000, 0.7984)  9 Ho 3.32-3.72, 1 Pm 3.62
Pm (0.3798, 0.3798, 0.2016)  9 Ho 3.32-3.72, 1 Pm 3.62
Pm (0.6202, 0.0000, 0.2016)  9 Ho 3.32-3.72, 1 Pm 3.62
Pm (0.6202, 0.6202, 0.7984)  9 Ho 3.32-3.72, 1 Pm 3.62
Ho (0.0000, 0.2710, 0.3165)  5 Pm 3.37-3.72, 1 Ce 3.41, 2 Ho 3.64
Ho (0.0000, 0.7290, 0.6835)  5 Pm 3.37-3.72, 1 Ce 3.41, 2 Ho 3.64
Ho (0.2710, 0.0000, 0.3165)  5 Pm 3.37-3.72, 1 Ce 3.41, 2 Ho 3.64
Ho (0.2710, 0.2710, 0.6835)  5 Pm 3.37-3.72, 1 Ce 3.41, 2 Ho 3.64
Ho (0.3333, 0.6667, 0.0000)  6 Pm 3.32, 2 Ho 3.44
Ho (0.3333, 0.6667, 0.5000)  8 Ho 3.44-3.78, 6 Pm 3.65
Ho (0.6667, 0.3333, 0.0000)  6 Pm 3.32, 2 Ho 3.44
Ho (0.6667, 0.3333, 0.5000)  8 Ho 3.44-3.78, 6 Pm 3.65
Ho (0.7290, 0.0000, 0.6835)  5 Pm 3.37-3.72, 1 Ce 3.41, 2 Ho 3.64
Ho (0.7290, 0.7290, 0.3165)  5 Pm 3.37-3.72, 1 Ce 3.41, 2 Ho 3.64

***

Entry from Alexandria via LeMat-Bulk: a relaxed structure of CePmHo4 (GGA-PBE).

Properties
Uncorrected energy (eV/cell): -28.85
E above lowest polymorph (eV per atom): 0.000
Formation energy (kJ per mole of atoms): 2

Cell: 8.7727 8.7727 6.1963 Å, 96.73 96.73 23.46°
Last column: nearest neighbours and their distance in Å.
Atoms (fractional coordinates):
Ce (0.0000, 0.0000, 0.0000)  6 Ho 3.50-3.52, 2 Ce 3.57, 4 Pm 3.57
Pm (0.5000, 0.5000, 0.5000)  6 Ho 3.52-3.53, 2 Pm 3.57, 4 Ce 3.57
Ho (0.1678, 0.1678, 0.3863)  9 Ho 3.49-3.60, 1 Ce 3.52, 2 Pm 3.53
Ho (0.3336, 0.3336, 0.1089)  9 Ho 3.50-3.60, 2 Ce 3.50, 1 Pm 3.52
Ho (0.6664, 0.6664, 0.8911)  9 Ho 3.50-3.60, 2 Ce 3.50, 1 Pm 3.52
Ho (0.8322, 0.8322, 0.6137)  9 Ho 3.49-3.60, 1 Ce 3.52, 2 Pm 3.53

***

Entry from Alexandria via LeMat-Bulk: a relaxed structure of CePmHo2 (GGA-PBE).

Properties
Uncorrected energy (eV/cell): -39.16
E above lowest polymorph (eV per atom): 0.014
Formation energy (kJ per mole of atoms): 6

Cell: 3.4772 6.7331 11.0453 Å, 89.97 89.89 75.07°
Last column: nearest neighbours and their distance in Å.
Atoms (fractional coordinates):
Ce (0.1087, 0.2834, 0.0071)  1 Ce 2.82
Ce (0.8913, 0.7166, 0.9929)  1 Ce 2.82
Pm (0.1332, 0.2349, 0.4841)  7 Ho 3.45-3.71, 5 Pm 3.47-3.54
Pm (0.8668, 0.7651, 0.5159)  7 Ho 3.45-3.71, 5 Pm 3.47-3.54
Ho (0.2543, 0.9897, 0.7613)  3 Ce 3.32-3.57, 5 Ho 3.44-3.53, 3 Pm 3.45-3.54
Ho (0.4809, 0.5386, 0.2515)  5 Ho 3.44-3.53, 4 Ce 3.53-3.62, 4 Pm 3.67-3.71
Ho (0.5191, 0.4614, 0.7485)  5 Ho 3.44-3.53, 4 Ce 3.53-3.62, 4 Pm 3.67-3.71
Ho (0.7457, 0.0103, 0.2387)  3 Ce 3.32-3.57, 5 Ho 3.44-3.53, 3 Pm 3.45-3.54

***

Density across the listed records, respectively: 9.7 10.1 6.2 7.3 8.1 8.7 10.1 7.4 7.7 7.9 8.3 8.2 g/cm³.